NdTl2Cu3F12 (PBE, relaxed); E_form (uncorrected) = -2.147 eV per atom; uncorrected energy = -4.605 eV per atom; symmetry = R-3m, No. 166
1.0
3.845 2.220 5.258
-3.845 2.220 5.258
0.000 -4.439 5.258
Nd Tl Cu F
1 2 3 12
Direct
0.000 0.000 0.000
0.389 0.389 0.389
0.611 0.611 0.611
0.000 0.000 0.500
0.000 0.500 0.000
0.500 0.000 0.000
0.095 0.744 0.744
0.135 0.135 0.595
0.135 0.595 0.135
0.256 0.256 0.905
0.256 0.905 0.256
0.405 0.865 0.865
0.595 0.135 0.135
0.744 0.095 0.744
0.744 0.744 0.095
0.865 0.405 0.865
0.865 0.865 0.405
0.905 0.256 0.256